(1)
CsU4Cu3Se12 | PBE | optimized geometry

Calculated values
DOS at the Fermi energy, states/eV/cell: 17.2
Symmetry: Im-3 (204)
Formation energy without anion corrections, eV/f.u.: -14.79

Unit cell a=8.858 b=8.858 c=8.858 alpha=109.47 beta=109.47 gamma=109.47
Last column: magnetic moment on the atom in μB.
Fractional positions:
Cs 0.000 0.000 0.000  0.00
U 0.500 0.000 0.000  1.27
U 0.500 0.500 0.500  1.27
U 0.000 0.500 0.000  1.27
U 0.000 0.000 0.500  1.27
Cu 0.000 0.500 0.500  -0.07
Cu 0.500 0.500 0.000  -0.07
Cu 0.500 0.000 0.500  -0.07
Se 0.322 0.829 0.150  -0.07
Se 0.678 0.171 0.850  -0.07
Se 0.678 0.829 0.507  -0.07
Se 0.850 0.678 0.171  -0.07
Se 0.829 0.150 0.322  -0.07
Se 0.171 0.493 0.322  -0.07
Se 0.493 0.322 0.171  -0.07
Se 0.171 0.850 0.678  -0.07
Se 0.322 0.171 0.493  -0.07
Se 0.150 0.322 0.829  -0.07
Se 0.829 0.507 0.678  -0.07
Se 0.507 0.678 0.829  -0.07

(2)
La5TbSn2 | PBE | optimized geometry

Calculated values
DOS at the Fermi energy, states/eV/cell: 22.3
Calculated formation energy, eV/atom: -0.35
Symmetry: Cmcm (63)

Unit cell a=4.385 b=6.589 c=19.646 alpha=90.00 beta=90.00 gamma=109.44
Fractional positions:
La 0.963 0.926 0.884
La 0.963 0.926 0.616
La 0.359 0.719 0.476
La 0.359 0.719 0.024
La 0.580 0.160 0.250
La 0.420 0.840 0.750
La 0.641 0.281 0.524
La 0.641 0.281 0.976
La 0.037 0.074 0.116
La 0.037 0.074 0.384
Tb 0.697 0.394 0.750
Tb 0.303 0.606 0.250
Sn 0.755 0.510 0.368
Sn 0.755 0.510 0.132
Sn 0.245 0.490 0.632
Sn 0.245 0.490 0.868

(3)
Nd2TmTl4 | PBE | optimized geometry

Calculated values
ΔE to the lowest computed polymorph, meV per atom: 340.7
DOS at the Fermi energy, states/eV/cell: 10.0
Calculated formation energy, eV/atom: 0.12
Symmetry: I4/mmm (139)

Unit cell a=5.734 b=5.734 c=8.926 alpha=108.73 beta=108.73 gamma=90.00
Fractional positions:
Nd 0.606 0.606 0.211
Nd 0.394 0.394 0.789
Tm 0.000 0.000 0.000
Tl 0.808 0.808 0.616
Tl 0.192 0.192 0.384
Tl 0.000 0.500 0.000
Tl 0.500 0.000 0.000

(4)
Be2Cl2F | PBE | optimized geometry

Calculated values
ΔE to the lowest computed polymorph, meV per atom: 89.6
DOS at the Fermi energy, states/eV/cell: 3.3
Symmetry: P4/mbm (127)
Formation energy without anion corrections, eV/f.u.: -1.61

Unit cell a=7.519 b=7.519 c=3.219 alpha=90.00 beta=90.00 gamma=90.00
Last column: magnetic moment on the atom in μB.
Fractional positions:
Be 0.249 0.749 0.500  0.17
Be 0.749 0.751 0.500  0.16
Be 0.751 0.251 0.500  0.17
Be 0.251 0.249 0.500  0.16
F 0.000 0.000 0.000  0.01
F 0.500 0.500 0.000  0.01
Cl 0.353 0.853 0.000  0.01
Cl 0.853 0.647 0.000  0.01
Cl 0.647 0.147 0.000  0.01
Cl 0.147 0.353 0.000  0.01